The following is a DFT calculation (PBE) of Ti6MoPb2 after structural relaxation.

Calculated values
The formation energy comes out at 0 meV/atom. The calculation puts the calculated volume at 172.7 Å³/cell. The crystal system is orthorhombic. The space-group type is Amm2, No. 38.

Structure (CIF):
```
data_Ti6MoPb2
_chemical_formula_sum 'Ti6 Mo1 Pb2'
_cell_length_a 3.2966
_cell_length_b 7.7356
_cell_length_c 7.7972
_cell_angle_alpha 119.74
_cell_angle_beta 90.00
_cell_angle_gamma 90.00
_symmetry_space_group_name_H-M 'P 1'
_symmetry_Int_Tables_number 1
_symmetry_space_group_name_Hall 'P 1'
loop_
_atom_site_label
_atom_site_type_symbol
_atom_site_fract_x
_atom_site_fract_y
_atom_site_fract_z
Ti1 Ti 0.0000 0.7476 0.7417
Ti2 Ti 0.0000 0.0059 0.2583
Ti3 Ti 0.5000 0.3628 0.3647
Ti4 Ti 0.0000 0.2496 0.0000
Ti5 Ti 0.5000 0.6404 0.0000
Ti6 Ti 0.5000 0.9981 0.6353
Pb1 Pb 0.0000 0.6654 0.3300
Pb2 Pb 0.0000 0.3354 0.6700
Mo1 Mo 0.5000 0.9949 0.0000
```